Entry a
# OsIN2Cl

An optimized crystal structure of OsIN2Cl (PBE, the Alexandria database). Values from VASP.

Cell and atoms, written as Quantum ESPRESSO input:
```
&SYSTEM
  ibrav = 0, nat = 5, ntyp = 4
/
ATOMIC_SPECIES
N 14.01 N.upf
Cl 35.45 Cl.upf
I 126.90 I.upf
Os 190.23 Os.upf
ATOMIC_POSITIONS crystal
N 0.500 0.000 0.000
N 0.000 0.500 0.000
Cl 0.000 0.000 0.000
I 0.000 0.000 0.500
Os 0.500 0.500 0.500
CELL_PARAMETERS angstrom
3.785 0.000 0.000
0.000 3.785 0.000
0.000 0.000 6.811
```

Space-group type: No. 123

Entry b
# OsIN2Cl

An optimized crystal structure of OsIN2Cl (PBE, the Alexandria database). Values from VASP.

Cell and atoms, written as Quantum ESPRESSO input:
```
&SYSTEM
  ibrav = 0, nat = 5, ntyp = 4
/
ATOMIC_SPECIES
N 14.01 N.upf
Os 190.23 Os.upf
Cl 35.45 Cl.upf
I 126.90 I.upf
ATOMIC_POSITIONS crystal
N 0.500 0.000 0.000
N 0.000 0.500 0.000
Os 0.000 0.000 0.000
Cl 0.500 0.500 0.500
I 0.000 0.000 0.500
CELL_PARAMETERS angstrom
3.886 0.000 0.000
0.000 3.886 0.000
0.000 0.000 5.823
```

Space-group type: No. 123

Winner for stability: entry b

Entry a
# PINCl2

An optimized crystal structure of PINCl2 (PBE, the Alexandria database). Values from VASP.

Cell and atoms, written as Quantum ESPRESSO input:
```
&SYSTEM
  ibrav = 0, nat = 5, ntyp = 4
/
ATOMIC_SPECIES
P 30.97 P.upf
Cl 35.45 Cl.upf
I 126.90 I.upf
N 14.01 N.upf
ATOMIC_POSITIONS crystal
P 0.000 0.000 0.500
Cl 0.500 0.000 0.000
Cl 0.000 0.500 0.000
I 0.500 0.500 0.500
N 0.000 0.000 0.000
CELL_PARAMETERS angstrom
-3.336 -0.930 -2.652
0.198 -4.184 1.218
-3.139 0.908 3.630
```

Space-group type: No. 123

Entry b
# PINCl2

An optimized crystal structure of PINCl2 (PBE, the Alexandria database). Values from VASP.

Cell and atoms, written as Quantum ESPRESSO input:
```
&SYSTEM
  ibrav = 0, nat = 5, ntyp = 4
/
ATOMIC_SPECIES
Cl 35.45 Cl.upf
P 30.97 P.upf
I 126.90 I.upf
N 14.01 N.upf
ATOMIC_POSITIONS crystal
Cl 0.500 0.000 0.000
Cl 0.000 0.000 0.500
P 0.000 0.500 0.000
I 0.000 0.000 0.000
N 0.500 0.500 0.500
CELL_PARAMETERS angstrom
-1.908 -4.837 0.362
0.555 0.187 5.429
-4.821 1.934 0.426
```

Space-group type: No. 123

Winner for stability: entry a

Entry a
# PIN2Cl

An optimized crystal structure of PIN2Cl (PBE, the Alexandria database). Values from VASP.

Cell and atoms, written as Quantum ESPRESSO input:
```
&SYSTEM
  ibrav = 0, nat = 5, ntyp = 4
/
ATOMIC_SPECIES
P 30.97 P.upf
N 14.01 N.upf
Cl 35.45 Cl.upf
I 126.90 I.upf
ATOMIC_POSITIONS crystal
P 0.000 0.000 0.000
N 0.000 0.500 0.000
N 0.500 0.000 0.000
Cl 0.500 0.500 0.500
I 0.000 0.000 0.500
CELL_PARAMETERS angstrom
3.661 0.000 0.000
0.000 3.661 0.000
0.000 0.000 7.352
```

Space-group type: No. 123

Entry b
# PIN2Cl

An optimized crystal structure of PIN2Cl (PBE, the Alexandria database). Values from VASP.

Cell and atoms, written as Quantum ESPRESSO input:
```
&SYSTEM
  ibrav = 0, nat = 5, ntyp = 4
/
ATOMIC_SPECIES
Cl 35.45 Cl.upf
N 14.01 N.upf
I 126.90 I.upf
P 30.97 P.upf
ATOMIC_POSITIONS crystal
Cl 0.000 0.000 0.000
N 0.000 0.500 0.000
N 0.500 0.000 0.000
I 0.000 0.000 0.500
P 0.500 0.500 0.500
CELL_PARAMETERS angstrom
3.963 0.000 0.000
0.000 3.963 0.000
0.000 0.000 7.575
```

Space-group type: No. 123

Winner for stability: entry a